Pm2TlP | GGA-PBE | optimized geometry

For the volume, the calculation gives 28.49 Å³/atom. The crystal system is trigonal. The energy comes out at -5.28 eV/atom. The calculation puts the formation enthalpy at 0 K at -92.4 kJ per mole of atoms.

a = 4.0491 Å, b = 4.0491 Å, c = 24.0812 Å
α = 90.00°, β = 90.00°, γ = 120.00°
Space group R-3m (No. 166, hexagonal axes)
One atom of each set of equivalent atoms:
Pm 0.0000 0.0000 0.2347 [6 per cell]
Tl 0.0000 0.0000 0.0000 [3 per cell]
P 0.0000 0.0000 0.5000 [3 per cell]